This record from the Alexandria database describes Cr3W4 at its PBEsol-relaxed geometry. The functional is SCAN.

Cell and atoms, written as CIF:
```
data_Cr3W4
_cell_length_a 3.0285
_cell_length_b 3.0285
_cell_length_c 21.1497
_cell_angle_alpha 90.00
_cell_angle_beta 90.00
_cell_angle_gamma 90.00
_symmetry_space_group_name_H-M 'I 4/m m m'
_symmetry_Int_Tables_number 139
_symmetry_space_group_name_Hall '-I 4 2'
loop_
_atom_site_label
_atom_site_fract_x
_atom_site_fract_y
_atom_site_fract_z
Cr1 0.0000 0.0000 0.0000
Cr2 0.0000 0.0000 0.2833
W1 0.0000 0.0000 0.1482
W2 0.0000 0.0000 0.4298
```

Properties
Formation enthalpy at 0 K (eV/atom): 0.08
Distance to the lowest polymorph of the same formula (eV/atom): 0.000